Ca2GaNi3P4 | Alexandria via LeMat-Bulk | GGA-PBE | optimized geometry; volume = 15.45 A^3/atom
1.0
4.015 0.000 0.000
0.000 4.015 0.000
0.000 0.000 9.586
Ca Ga Ni P
2 1 3 4
Direct
0.000 0.500 0.235
0.500 0.000 0.765
0.000 0.000 0.500
0.000 0.500 0.885
0.500 0.000 0.115
0.500 0.500 0.500
0.000 0.000 0.000
0.000 0.500 0.648
0.500 0.000 0.352
0.500 0.500 0.000

=====

Ca2GaNi4P3 | Alexandria via LeMat-Bulk | GGA-PBE | optimized geometry; volume = 14.92 A^3/atom
1.0
3.952 0.000 0.000
0.000 3.952 0.000
0.000 0.000 9.549
Ca Ga Ni P
2 1 4 3
Direct
0.000 0.500 0.244
0.500 0.000 0.756
0.000 0.000 0.500
0.000 0.000 0.000
0.000 0.500 0.636
0.500 0.000 0.364
0.500 0.500 0.000
0.000 0.500 0.872
0.500 0.000 0.128
0.500 0.500 0.500

=====

Ca2Ga5Ni2Pd | Alexandria via LeMat-Bulk | GGA-PBE | optimized geometry; volume = 17.42 A^3/atom
1.0
9.488 0.000 0.000
0.000 9.488 0.000
0.000 0.000 3.871
Ca Ga Ni Pd
4 10 4 2
Direct
0.184 0.316 0.000
0.316 0.816 0.000
0.684 0.184 0.000
0.816 0.684 0.000
0.000 0.500 0.500
0.057 0.796 0.500
0.204 0.057 0.500
0.296 0.557 0.500
0.443 0.296 0.500
0.500 0.000 0.500
0.557 0.704 0.500
0.704 0.443 0.500
0.796 0.943 0.500
0.943 0.204 0.500
0.110 0.610 0.000
0.390 0.110 0.000
0.610 0.890 0.000
0.890 0.390 0.000
0.000 0.000 0.000
0.500 0.500 0.000

=====

Ca2Ga4NiPd3 | Alexandria via LeMat-Bulk | GGA-PBE | optimized geometry; volume = 18.94 A^3/atom
1.0
4.282 0.000 0.000
0.000 4.282 0.000
0.000 0.000 10.333
Ca Ga Ni Pd
2 4 1 3
Direct
0.000 0.500 0.241
0.500 0.000 0.759
0.000 0.000 0.500
0.000 0.500 0.881
0.500 0.000 0.119
0.500 0.500 0.500
0.500 0.500 0.000
0.000 0.000 0.000
0.000 0.500 0.638
0.500 0.000 0.362

=====

CaGa4NiPd2 | Alexandria via LeMat-Bulk | GGA-PBE | optimized geometry; volume = 17.46 A^3/atom
1.0
2.122 1.225 8.954
-2.122 1.225 8.954
0.000 -2.450 8.954
Ca Ga Ni Pd
1 4 1 2
Direct
0.000 0.000 0.000
0.136 0.136 0.136
0.404 0.404 0.404
0.596 0.596 0.596
0.864 0.864 0.864
0.500 0.500 0.500
0.236 0.236 0.236
0.764 0.764 0.764

=====

CaGa4Ni2Pd | Alexandria via LeMat-Bulk | GGA-PBE | optimized geometry; volume = 16.94 A^3/atom
1.0
2.072 1.196 9.113
-2.072 1.196 9.113
0.000 -2.393 9.113
Ca Ga Ni Pd
1 4 2 1
Direct
0.000 0.000 0.000
0.128 0.128 0.128
0.403 0.403 0.403
0.597 0.597 0.597
0.872 0.872 0.872
0.230 0.230 0.230
0.770 0.770 0.770
0.500 0.500 0.500

=====

CaGa3NiPd | Alexandria via LeMat-Bulk | GGA-PBE | optimized geometry; volume = 19.81 A^3/atom
1.0
3.945 -5.420 0.000
3.945 5.420 0.000
0.000 0.000 5.561
Ca Ga Ni Pd
2 6 2 2
Direct
0.208 0.792 0.750
0.792 0.208 0.250
0.252 0.252 0.000
0.252 0.252 0.500
0.312 0.688 0.250
0.688 0.312 0.750
0.748 0.748 0.000
0.748 0.748 0.500
0.477 0.523 0.750
0.523 0.477 0.250
0.083 0.917 0.250
0.917 0.083 0.750

=====

CaPmGaNi | Alexandria via LeMat-Bulk | GGA-PBE | optimized geometry; volume = 22.64 A^3/atom
1.0
0.000 3.565 3.565
3.565 0.000 3.565
3.565 3.565 0.000
Ca Pm Ga Ni
1 1 1 1
Direct
0.000 0.000 0.000
0.500 0.500 0.500
0.750 0.750 0.750
0.250 0.250 0.250

=====

CaPrGaNi | Alexandria via LeMat-Bulk | GGA-PBE | optimized geometry; volume = 24.46 A^3/atom; relative energy among the computed polymorphs = 0 meV/atom
1.0
3.920 0.000 0.000
0.000 2.126 5.870
0.000 -2.126 5.870
Ca Pr Ga Ni
1 1 1 1
Direct
0.000 0.000 0.000
0.500 0.289 0.289
0.500 0.588 0.588
0.000 0.721 0.721

=====

CaPrGaNi | Alexandria via LeMat-Bulk | GGA-PBE | optimized geometry; volume = 23.22 A^3/atom; relative energy among the computed polymorphs = 80 meV/atom
1.0
0.000 3.595 3.595
3.595 0.000 3.595
3.595 3.595 0.000
Ca Pr Ga Ni
1 1 1 1
Direct
0.000 0.000 0.000
0.500 0.500 0.500
0.750 0.750 0.750
0.250 0.250 0.250

=====

Ca2Ga3NiPt4 | Alexandria via LeMat-Bulk | GGA-PBE | optimized geometry; volume = 18.56 A^3/atom
1.0
4.115 0.000 0.000
0.000 4.115 0.000
0.000 0.000 10.958
Ca Ga Ni Pt
2 3 1 4
Direct
0.000 0.500 0.241
0.500 0.000 0.759
0.000 0.000 0.000
0.000 0.500 0.636
0.500 0.000 0.364
0.500 0.500 0.000
0.000 0.000 0.500
0.000 0.500 0.861
0.500 0.000 0.139
0.500 0.500 0.500

=====

CaGa4NiPt2 | Alexandria via LeMat-Bulk | GGA-PBE | optimized geometry; volume = 17.45 A^3/atom
1.0
2.124 1.226 8.932
-2.124 1.226 8.932
0.000 -2.453 8.932
Ca Ga Ni Pt
1 4 1 2
Direct
0.000 0.000 0.000
0.135 0.135 0.135
0.403 0.403 0.403
0.597 0.597 0.597
0.865 0.865 0.865
0.500 0.500 0.500
0.235 0.235 0.235
0.765 0.765 0.765

=====

CaGa4Ni2Pt | Alexandria via LeMat-Bulk | GGA-PBE | optimized geometry; volume = 17.06 A^3/atom
1.0
2.075 1.198 9.150
-2.075 1.198 9.150
0.000 -2.396 9.150
Ca Ga Ni Pt
1 4 2 1
Direct
0.000 0.000 0.000
0.128 0.128 0.128
0.403 0.403 0.403
0.597 0.597 0.597
0.872 0.872 0.872
0.228 0.228 0.228
0.772 0.772 0.772
0.500 0.500 0.500

=====

Ca2Ga2NiPt5 | Alexandria via LeMat-Bulk | GGA-PBE | optimized geometry; volume = 17.28 A^3/atom
1.0
9.688 0.000 0.000
0.000 9.688 0.000
0.000 0.000 3.682
Ca Ga Ni Pt
4 4 2 10
Direct
0.174 0.326 0.000
0.326 0.826 0.000
0.674 0.174 0.000
0.826 0.674 0.000
0.127 0.627 0.000
0.373 0.127 0.000
0.627 0.873 0.000
0.873 0.373 0.000
0.000 0.000 0.000
0.500 0.500 0.000
0.000 0.500 0.500
0.062 0.802 0.500
0.198 0.062 0.500
0.302 0.562 0.500
0.438 0.302 0.500
0.500 0.000 0.500
0.562 0.698 0.500
0.698 0.438 0.500
0.802 0.938 0.500
0.938 0.198 0.500

=====

CaGa3NiPt | Alexandria via LeMat-Bulk | GGA-PBE | optimized geometry; volume = 19.15 A^3/atom
1.0
3.163 -6.081 0.000
3.163 6.081 0.000
0.000 0.000 5.973
Ca Ga Ni Pt
2 6 2 2
Direct
0.238 0.762 0.750
0.762 0.238 0.250
0.209 0.209 0.000
0.209 0.209 0.500
0.334 0.666 0.250
0.666 0.334 0.750
0.791 0.791 0.000
0.791 0.791 0.500
0.479 0.521 0.750
0.521 0.479 0.250
0.136 0.864 0.250
0.864 0.136 0.750

=====

RbCa2GaNi | Alexandria via LeMat-Bulk | GGA-PBE | optimized geometry; volume = 30.38 A^3/atom
1.0
5.617 0.000 0.000
0.000 5.617 0.000
0.000 0.000 4.815
Rb Ca Ga Ni
1 2 1 1
Direct
0.000 0.000 0.000
0.000 0.500 0.500
0.500 0.000 0.500
0.500 0.500 0.000
0.500 0.500 0.500

=====

CaGa3NiRh | Alexandria via LeMat-Bulk | GGA-PBE | optimized geometry; volume = 19.56 A^3/atom
1.0
3.845 -5.398 0.000
3.845 5.398 0.000
0.000 0.000 5.655
Ca Ga Ni Rh
2 6 2 2
Direct
0.213 0.787 0.750
0.787 0.213 0.250
0.247 0.247 0.000
0.247 0.247 0.500
0.301 0.699 0.250
0.699 0.301 0.750
0.753 0.753 0.000
0.753 0.753 0.500
0.489 0.511 0.750
0.511 0.489 0.250
0.080 0.920 0.250
0.920 0.080 0.750

=====

Ca2Ga5Ni2Rh | Alexandria via LeMat-Bulk | GGA-PBE | optimized geometry; volume = 17.09 A^3/atom
1.0
9.509 0.000 0.000
0.000 9.509 0.000
0.000 0.000 3.781
Ca Ga Ni Rh
4 10 4 2
Direct
0.183 0.317 0.000
0.317 0.817 0.000
0.683 0.183 0.000
0.817 0.683 0.000
0.000 0.500 0.500
0.055 0.799 0.500
0.201 0.055 0.500
0.299 0.555 0.500
0.445 0.299 0.500
0.500 0.000 0.500
0.555 0.701 0.500
0.701 0.445 0.500
0.799 0.945 0.500
0.945 0.201 0.500
0.113 0.613 0.000
0.387 0.113 0.000
0.613 0.887 0.000
0.887 0.387 0.000
0.000 0.000 0.000
0.500 0.500 0.000

=====

Ca2Ga4NiRh3 | Alexandria via LeMat-Bulk | GGA-PBE | optimized geometry; volume = 18.13 A^3/atom
1.0
4.147 0.000 0.000
0.000 4.147 0.000
0.000 0.000 10.546
Ca Ga Ni Rh
2 4 1 3
Direct
0.000 0.500 0.242
0.500 0.000 0.758
0.000 0.000 0.500
0.000 0.500 0.875
0.500 0.000 0.125
0.500 0.500 0.500
0.500 0.500 0.000
0.000 0.000 0.000
0.000 0.500 0.637
0.500 0.000 0.363

=====

CaGa2NiRh | Alexandria via LeMat-Bulk | GGA-PBE | optimized geometry; volume = 17.84 A^3/atom
1.0
-2.058 2.058 5.266
2.058 -2.058 5.266
2.058 2.058 -5.266
Ca Ga Ni Rh
1 2 1 1
Direct
0.000 0.000 0.000
0.374 0.374 0.000
0.626 0.626 0.000
0.250 0.750 0.500
0.750 0.250 0.500

=====

no.,formation enthalpy at 0 K (eV per formula unit),DFT total energy (eV per atom),spin magnetization (μB/f.u.)
1,-7.0,-5.2984,0.00
2,-7.5,-5.3905,0.00
3,-4.1,-3.9968,0.00
4,-6.5,-4.3975,0.00
5,-4.3,-4.3193,0.00
6,-3.5,-4.2937,0.00
7,-2.3,-4.0663,0.00
8,-1.1,-4.1774,0.00
9,-1.4,-4.2491,0.00
10,-1.1,-4.1688,0.00
11,-7.9,-5.0927,0.00
12,-4.8,-4.5932,0.00
13,-3.5,-4.4076,0.00
14,-6.6,-5.2677,0.15
15,-2.8,-4.2917,0.00
16,-0.1,-2.7790,0.31
17,-2.5,-4.4563,0.00
18,-3.8,-4.1873,0.00
19,-6.4,-5.0377,0.00
20,-2.8,-4.8050,0.00